DFT (GGA-PBE) results for TbLu2Zr after structural relaxation.

Summary:
- calculated formation energy (eV/atom) = 0.194
- magnetic moment (μB per cell) = 7.20
- relative energy among the computed polymorphs (kJ per mole of atoms) = 12.19
- raw total energy (eV/cell) = -85.78

Unit cell a=7.666 b=7.666 c=7.666 alpha=90.00 beta=90.00 gamma=90.00
Space group Fm-3m (No. 225)
Unique sites:
1 Tb 0.000 0.000 0.000 [4 per cell]
2 Lu 0.250 0.250 0.250 [8 per cell]
3 Zr 0.000 0.000 0.500 [4 per cell]